Compound: LiAgRh2
Source: Alexandria
Functional: PBE
Structure: optimized geometry

Cell: 6.200 6.200 6.200 Å, 90.00 90.00 90.00°
Space group F-43m (No. 216)
Unique sites:
Li (0.000, 0.000, 0.000) (multiplicity 4)
Ag (0.250, 0.250, 0.750) (multiplicity 4)
Rh (0.000, 0.000, 0.500) (multiplicity 4)
Rh (0.250, 0.250, 0.250) (multiplicity 4)

Results
* ΔE_f: 0.098 eV per atom
* distance to the lowest polymorph of the same formula: 101 meV per atom
* crystal system: cubic